Version P
A plane-wave DFT calculation with PBE with a Hubbard U was carried out for a relaxed HfMo3O crystal.

```
data_HfMo3O
_cell_length_a 5.0892
_cell_length_b 5.0892
_cell_length_c 5.0892
_cell_angle_alpha 90.00
_cell_angle_beta 90.00
_cell_angle_gamma 90.00
_space_group_name_H-M_alt 'P m -3 m'
_space_group_IT_number 221
_space_group_name_Hall '-P 4 2 3'
loop_
_atom_site_label
_atom_site_type_symbol
_atom_site_fract_x
_atom_site_fract_y
_atom_site_fract_z
Hf1 Hf 0.0000 0.0000 0.0000
Mo1 Mo 0.0000 0.0000 0.5000
O1 O 0.5000 0.5000 0.5000
```

## Properties
density	6.08	g/cm³
DOS(E_F)	5.10	states/eV/cell



Version Q
A plane-wave DFT calculation with PBE with a Hubbard U was carried out for a relaxed HfMo3O crystal.

```
data_HfMo3O
_cell_length_a 4.2788
_cell_length_b 4.2788
_cell_length_c 4.2788
_cell_angle_alpha 90.00
_cell_angle_beta 90.00
_cell_angle_gamma 90.00
_space_group_name_H-M_alt 'P m -3 m'
_space_group_IT_number 221
_space_group_name_Hall '-P 4 2 3'
loop_
_atom_site_label
_atom_site_type_symbol
_atom_site_fract_x
_atom_site_fract_y
_atom_site_fract_z
Hf1 Hf 0.0000 0.0000 0.0000
Mo1 Mo 0.0000 0.5000 0.5000
O1 O 0.5000 0.5000 0.5000
```

## Properties
density	10.22	g/cm³
DOS(E_F)	2.47	states/eV/cell



Most stable of them? version Q.



Version P
A plane-wave DFT calculation with PBE with a Hubbard U was carried out for a relaxed HfMoO2 crystal.

```
data_HfMoO2
_cell_length_a 3.4202
_cell_length_b 3.4202
_cell_length_c 17.7623
_cell_angle_alpha 90.00
_cell_angle_beta 90.00
_cell_angle_gamma 120.00
_space_group_name_H-M_alt 'R -3 m'
_space_group_IT_number 166
_space_group_name_Hall '-R 3 2"'
loop_
_atom_site_label
_atom_site_type_symbol
_atom_site_fract_x
_atom_site_fract_y
_atom_site_fract_z
Hf1 Hf 0.0000 0.0000 0.0000
Mo1 Mo 0.0000 0.0000 0.5000
O1 O 0.0000 0.0000 0.3790
```

## Properties
density	8.48	g/cm³
DOS(E_F)	3.80	states/eV/cell



Version Q
A plane-wave DFT calculation with PBE with a Hubbard U was carried out for a relaxed HfMoO2 crystal.

```
data_HfMoO2
_cell_length_a 5.2228
_cell_length_b 5.2228
_cell_length_c 10.5695
_cell_angle_alpha 90.00
_cell_angle_beta 90.00
_cell_angle_gamma 90.00
_space_group_name_H-M_alt 'I -4 2 d'
_space_group_IT_number 122
_space_group_name_Hall 'I -4 2bw'
loop_
_atom_site_label
_atom_site_type_symbol
_atom_site_fract_x
_atom_site_fract_y
_atom_site_fract_z
Hf1 Hf 0.0000 0.0000 0.0000
Mo1 Mo 0.0000 0.0000 0.5000
O1 O 0.1403 0.2500 0.1250
```

## Properties
density	7.06	g/cm³
DOS(E_F)	4.29	states/eV/cell



Version R
A plane-wave DFT calculation with PBE with a Hubbard U was carried out for a relaxed HfMoO2 crystal.

```
data_HfMoO2
_cell_length_a 5.6889
_cell_length_b 5.6889
_cell_length_c 5.6889
_cell_angle_alpha 90.00
_cell_angle_beta 90.00
_cell_angle_gamma 90.00
_space_group_name_H-M_alt 'F m -3 m'
_space_group_IT_number 225
_space_group_name_Hall '-F 4 2 3'
loop_
_atom_site_label
_atom_site_type_symbol
_atom_site_fract_x
_atom_site_fract_y
_atom_site_fract_z
Hf1 Hf 0.0000 0.0000 0.0000
Mo1 Mo 0.0000 0.0000 0.5000
O1 O 0.2500 0.2500 0.2500
```

## Properties
density	11.05	g/cm³
DOS(E_F)	7.96	states/eV/cell



Most stable of them? version P.



Version P
A plane-wave DFT calculation with PBE with a Hubbard U was carried out for a relaxed HfMoPO2 crystal.

```
data_HfMoPO2
_cell_length_a 3.8869
_cell_length_b 3.8869
_cell_length_c 5.2174
_cell_angle_alpha 90.00
_cell_angle_beta 90.00
_cell_angle_gamma 90.00
_space_group_name_H-M_alt 'P 4/m m m'
_space_group_IT_number 123
_space_group_name_Hall '-P 4 2'
loop_
_atom_site_label
_atom_site_type_symbol
_atom_site_fract_x
_atom_site_fract_y
_atom_site_fract_z
Hf1 Hf 0.0000 0.0000 0.0000
Mo1 Mo 0.5000 0.5000 0.5000
P1 P 0.5000 0.5000 0.0000
O1 O 0.0000 0.5000 0.5000
```

## Properties
density	7.11	g/cm³
DOS(E_F)	1.81	states/eV/cell



Version Q
A plane-wave DFT calculation with PBE with a Hubbard U was carried out for a relaxed HfMoPO2 crystal.

```
data_HfMoPO2
_cell_length_a 3.9911
_cell_length_b 3.9911
_cell_length_c 5.4165
_cell_angle_alpha 90.00
_cell_angle_beta 90.00
_cell_angle_gamma 90.00
_space_group_name_H-M_alt 'P 4/m m m'
_space_group_IT_number 123
_space_group_name_Hall '-P 4 2'
loop_
_atom_site_label
_atom_site_type_symbol
_atom_site_fract_x
_atom_site_fract_y
_atom_site_fract_z
Hf1 Hf 0.0000 0.0000 0.0000
Mo1 Mo 0.5000 0.5000 0.5000
P1 P 0.0000 0.0000 0.5000
O1 O 0.0000 0.5000 0.0000
```

## Properties
density	6.49	g/cm³
DOS(E_F)	2.08	states/eV/cell



Most stable of them? version Q.